(1)
The following is a DFT calculation (PBE-GGA) of a geometry-optimized AlZn2Sb structure.

```
AlZn2Sb
1.0
-2.014 -2.162 -8.255
-4.791 -2.942 -6.728
-4.254 0.138 -7.666
Zn Al Sb
2 1 1
Cartesian
-2.774 -1.246 -5.682 Zn
-10.935 -4.910 -22.396 Zn
-5.642 -2.533 -11.555 Al
-8.295 -3.725 -16.989 Sb
```

---

(2)
The following is a DFT calculation (PBE-GGA) of a geometry-optimized Al2ZnSb structure.

```
Al2ZnSb
1.0
-0.920 6.823 6.131
-3.060 4.758 7.279
0.016 4.468 8.064
Zn Sb Al
1 1 2
Cartesian
-2.973 12.037 16.106 Zn
-0.991 4.012 5.369 Sb
-1.944 7.872 10.533 Al
-0.038 0.152 0.204 Al
```

---

(3)
The following is a DFT calculation (PBE-GGA) of a geometry-optimized AlZnSb structure.

```
AlZnSb
1.0
-3.588 -0.042 -3.121
0.316 -2.629 -3.951
-2.685 -3.895 -0.485
Sb Zn Al
1 1 1
Cartesian
-1.489 -1.642 -1.889 Sb
0.000 0.000 0.000 Zn
-2.979 -3.283 -3.779 Al
```

---

(4)
The following is a DFT calculation (PBE-GGA) of a geometry-optimized Al2ZnSb2 structure.

```
Al2ZnSb2
1.0
-2.385 0.275 -3.486
2.953 -2.102 -2.186
-3.043 -7.418 -1.074
Al Sb Zn
2 2 1
Cartesian
0.097 -5.217 -3.048 Al
-2.572 -4.028 -3.698 Al
-1.901 -6.654 -4.365 Sb
-0.574 -2.591 -2.382 Sb
0.000 0.000 0.000 Zn
```

---

(5)
The following is a DFT calculation (PBE-GGA) of a geometry-optimized Al2ZnSb structure.

```
Al2ZnSb
1.0
3.048 -0.072 0.000
-0.096 3.318 0.000
0.000 0.000 7.791
Al Sb Zn
2 1 1
Cartesian
0.000 0.000 7.523 Al
0.000 0.000 4.164 Al
1.476 1.623 1.948 Sb
1.476 1.623 5.843 Zn
```

---

(6)
The following is a DFT calculation (PBE-GGA) of a geometry-optimized Al2ZnSb structure.

```
Al2ZnSb
1.0
6.501 0.000 0.000
0.000 6.501 0.000
3.250 3.250 5.169
Zn Al Sb
2 4 2
Cartesian
3.250 3.250 0.000 Zn
3.250 6.501 2.584 Zn
4.876 4.981 3.876 Al
1.731 4.876 1.292 Al
8.126 8.020 3.876 Al
4.770 1.625 1.292 Al
0.000 0.000 0.000 Sb
6.501 3.250 2.584 Sb
```

---

(7)
The following is a DFT calculation (PBE-GGA) of a geometry-optimized AlZnSb structure.

```
AlZnSb
1.0
-0.664 -3.272 1.477
2.660 0.381 -2.472
3.661 1.114 4.113
Al Sb Zn
1 1 1
Cartesian
3.604 1.096 4.048 Al
1.656 -1.686 1.522 Sb
4.059 -0.074 1.661 Zn
```

---

(8)
The following is a DFT calculation (PBE-GGA) of a geometry-optimized AlZn2Sb structure.

```
AlZn2Sb
1.0
-4.252 -1.488 0.413
-1.903 -4.101 -0.141
-0.263 -1.370 5.349
Zn Al Sb
2 1 1
Cartesian
-3.182 -3.513 3.078 Zn
-0.289 -1.337 5.081 Zn
-4.813 -5.219 4.216 Al
-1.604 -1.740 1.405 Sb
```

---

no.,final energy (eV per atom)
1,-2.429
2,-3.037
3,-2.798
4,-3.251
5,-3.047
6,-2.907
7,-2.871
8,-2.472